1.
DFT (GGA-PBE) results for an optimized crystal structure of KHfAs2Se.

The space group is P4/mmm (No. 123) and the conventional cell measures 5.221, 5.221 and 5.283 Å, with angles of 90.00, 90.00 and 90.00 degrees. Symmetry generates all atoms from K at (0.000, 0.000, 0.000), Hf at (0.500, 0.500, 0.500), As at (0.000, 0.500, 0.500) and Se at (0.500, 0.500, 0.000).

For the energy relative to the lowest polymorph listed for this composition, the calculation gives 0 meV/atom. The raw formation energy comes out at -0.489 eV per atom. The crystal system is tetragonal. The calculation puts the total energy at -5.26 eV per atom.

---

2.
DFT (GGA-PBE) results for an optimized crystal structure of K2HfAs2Se6.

The space group is C2/m (No. 12) and the conventional cell measures 10.990, 7.377 and 8.549 Å, with angles of 90.00, 108.77 and 90.00 degrees. Symmetry generates all atoms from K at (0.185, 0.000, 0.116), Hf at (0.000, 0.000, 0.500), As at (0.090, 0.500, 0.230), Se at (0.047, 0.241, 0.754) and Se at (0.243, 0.000, 0.513).

The raw formation energy comes out at -0.708 eV per atom. The crystal system is monoclinic. The calculation puts the total energy at -4.56 eV per atom.

---

3.
DFT (GGA-PBE) results for an optimized crystal structure of KHfSiAs3.

The space group is P2_1/m (No. 11) and the conventional cell measures 9.068, 3.877 and 9.986 Å, with angles of 90.00, 114.14 and 90.00 degrees. Symmetry generates all atoms from K at (0.233, 0.250, 0.242), Hf at (0.330, 0.750, 0.878), Si at (0.088, 0.250, 0.625), As at (0.104, 0.250, 0.863), As at (0.204, 0.750, 0.548) and As at (0.484, 0.750, 0.165).

The raw formation energy comes out at -0.473 eV per atom. The crystal system is monoclinic. The calculation puts the total energy at -5.54 eV per atom.